18
Lattice="8.7479 -0.0474 0.0850 -3.3583 8.0777 -0.0850 -2.8208 -3.9306 7.2890" Properties=species:S:1:pos:R:3 comment="Nd6Co2Bi, optimized geometry, DFT PBE" mass_density_g_cm3=7.70 e_form_ev_per_atom=-0.22 pbc="T T T"
Nd -0.0709 2.5272 5.9300
Nd 2.6397 1.5725 1.3590
Nd -2.3657 -0.8919 5.9300
Nd 4.9345 4.9916 1.3590
Nd 2.7576 3.9730 4.0792
Nd -0.1888 0.1267 3.2098
Nd -3.5092 2.3552 7.0809
Nd 6.0780 1.7445 0.2081
Nd 2.8582 0.2166 4.9615
Nd -0.2894 3.8831 2.3274
Nd -2.4759 5.3506 4.8765
Nd 5.0446 -1.2509 2.4124
Co 0.5439 -0.3650 6.5080
Co 2.0249 4.4647 0.7810
Co 3.8340 -2.5732 4.7699
Co 2.0932 -1.4048 2.6041
Bi -3.0896 2.0736 3.6020
Bi 0.0000 0.0000 0.0000